No. 1
First-principles (PBE-GGA) data for a relaxed structure of Na2LiTlF6, as listed in Alexandria via LeMat-Bulk.

Values from the calculation:
The calculation puts the total energy at -41.51 eV per cell. The calculation puts the formation energy without anion corrections at -2336.5 meV/atom. The value obtained for the volume is 14.5 A^3/atom. As for the density: 4.26 g cm⁻³. Its crystal system is cubic. The magnetization is 0.0 μB/f.u.

abc: 5.8943 5.8943 5.8943
angles: 60.00 60.00 60.00
Atoms (fractional coordinates):
Na  0.2500  0.2500  0.2500
Na  0.7500  0.7500  0.7500
Li  0.5000  0.5000  0.5000
Tl  0.0000  0.0000  0.0000
F  0.7401  0.2599  0.2599
F  0.7401  0.2599  0.7401
F  0.2599  0.7401  0.7401
F  0.2599  0.2599  0.7401
F  0.7401  0.7401  0.2599
F  0.2599  0.7401  0.2599

No. 2
First-principles (PBE-GGA) data for a relaxed structure of PmPr2Nd4Sm2, as listed in Alexandria via LeMat-Bulk.

Values from the calculation:
The value obtained for the calculated formation energy is 0.0081 eV per atom. The calculation puts the total energy at -42.75 eV per cell. The value obtained for the volume is 35.2 A^3/atom. As for the density: 6.84 g cm⁻³. Its crystal system is monoclinic. The magnetization is 0.0 μB/f.u.

abc: 3.7048 9.7907 9.8592
angles: 115.15 90.00 100.91
Atoms (fractional coordinates):
Pm  0.0000  0.0000  0.0000
Pr  0.3337  0.6674  0.0008
Pr  0.6663  0.3326  0.9992
Nd  0.8147  0.6294  0.6670
Nd  0.1853  0.3706  0.3330
Nd  0.5182  0.0365  0.3331
Nd  0.4818  0.9635  0.6669
Sm  0.8519  0.7038  0.3331
Sm  0.1481  0.2962  0.6669

No. 3
First-principles (PBE-GGA) data for a relaxed structure of BiI3N, as listed in Alexandria via LeMat-Bulk.

Values from the calculation:
The calculation puts the total energy at -26.66 eV per cell. The calculation puts the formation energy without anion corrections at 705.8 meV/atom. The value obtained for the volume is 44.0 A^3/atom. As for the density: 4.55 g cm⁻³. Its crystal system is triclinic. The magnetization is 3.0 μB/f.u.

abc: 6.3625 10.8920 8.5071
angles: 104.57 113.24 54.44
Each line ends with the local moment (μB).
Atoms (fractional coordinates):
Bi  0.8971  0.4000  0.5290  0.02
Bi  0.4711  0.8998  0.5255  0.02
I  0.0697  0.1353  0.2470  0.03
I  0.2984  0.1646  0.8075  0.03
I  0.4179  0.3983  0.4730  0.02
I  0.5558  0.6500  0.2471  0.02
I  0.9503  0.9016  0.5815  0.02
I  0.8123  0.6499  0.8074  0.02
N  0.6304  0.3853  0.9208  1.88
N  0.7378  0.9144  0.1336  1.88

No. 4
First-principles (PBE-GGA) data for a relaxed structure of DyH2I3, as listed in Alexandria via LeMat-Bulk.

Values from the calculation:
The calculation puts the total energy at -40.57 eV per cell. The value obtained for the volume is 39.9 A^3/atom. As for the density: 3.78 g cm⁻³. Its crystal system is triclinic. The magnetization is 0.0 μB/f.u.

abc: 8.5810 8.5890 7.7152
angles: 98.57 72.22 117.87
Atoms (fractional coordinates):
Dy  0.8582  0.9017  0.0863
Dy  0.1376  0.0745  0.5092
H  0.6963  0.5865  0.9747
H  0.4097  0.5717  0.4944
H  0.7917  0.6105  0.9097
H  0.3827  0.1611  0.3336
I  0.4647  0.7320  0.2737
I  0.0129  0.2380  0.2807
I  0.9404  0.7224  0.3343
I  0.3359  0.4450  0.6898
I  0.1926  0.9075  0.7935
I  0.7772  0.0492  0.8201